TbHoTe2: relaxed, PBE.

Summary:
The value obtained for the formation energy without anion corrections is -4.6 eV per formula unit. The calculation puts the calculated volume at 27.037 Å³/atom. As for the density of states at the Fermi level: 0.662 states/eV per atom. Its crystal system is cubic. The calculation puts the excess energy over the best structure of this formula in the dataset at 147.4 meV/atom. The space group is Fm-3m, No. 225. The value obtained for the total magnetization is 0.31 μB/atom. The value obtained for the density is 8891 kg/m3.

POSCAR file:
```
TbHoTe2
1.0
0.000 3.782 3.782
3.782 0.000 3.782
3.782 3.782 0.000
Tb Ho Te
1 1 2
Direct
0.000 0.000 0.000 Tb
0.500 0.500 0.500 Ho
0.250 0.250 0.250 Te
0.750 0.750 0.750 Te
```

***

TbHo3Te: relaxed, PBE.

Summary:
The value obtained for the formation energy without anion corrections is -1.6 eV per formula unit. The calculation puts the calculated volume at 31.203 Å³/atom. As for the density of states at the Fermi level: 1.089 states/eV per atom. Its crystal system is monoclinic. The space group is C2/m, No. 12. The value obtained for the total magnetization is 0.00 μB/atom. The value obtained for the density is 8316 kg/m3.

POSCAR file:
```
TbHo3Te
1.0
6.016 -2.883 0.000
6.016 2.883 0.000
-0.917 0.000 8.997
Tb Ho Te
2 6 2
Direct
0.081 0.081 0.150 Tb
0.919 0.919 0.850 Tb
0.126 0.126 0.637 Ho
0.361 0.361 0.044 Ho
0.442 0.442 0.659 Ho
0.558 0.558 0.341 Ho
0.639 0.639 0.956 Ho
0.874 0.874 0.363 Ho
0.288 0.288 0.370 Te
0.712 0.712 0.630 Te
```

***

Tb4HoTe5: relaxed, PBE.

Summary:
The value obtained for the formation energy without anion corrections is -13.0 eV per formula unit. The calculation puts the calculated volume at 29.430 Å³/atom. As for the density of states at the Fermi level: 0.568 states/eV per atom. Its crystal system is tetragonal. The calculation puts the excess energy over the best structure of this formula in the dataset at 0.0 meV/atom. The space group is I4/mmm, No. 139. The value obtained for the total magnetization is 0.00 μB/atom. The value obtained for the density is 8117 kg/m3.

POSCAR file:
```
Tb4HoTe5
1.0
-2.169 2.169 15.639
2.169 -2.169 15.639
2.169 2.169 -15.639
Tb Ho Te
4 1 5
Direct
0.105 0.105 0.000 Tb
0.308 0.308 0.000 Tb
0.692 0.692 0.000 Tb
0.895 0.895 0.000 Tb
0.500 0.500 0.000 Ho
0.000 0.000 0.000 Te
0.205 0.205 0.000 Te
0.404 0.404 0.000 Te
0.596 0.596 0.000 Te
0.795 0.795 0.000 Te
```

***

TbHo2Te2: relaxed, PBE.

Summary:
The value obtained for the formation energy without anion corrections is -3.5 eV per formula unit. The calculation puts the calculated volume at 29.922 Å³/atom. As for the density of states at the Fermi level: 0.820 states/eV per atom. Its crystal system is monoclinic. The space group is C2/m, No. 12. The value obtained for the total magnetization is 0.00 μB/atom. The value obtained for the density is 8258 kg/m3.

POSCAR file:
```
TbHo2Te2
1.0
3.586 -2.965 0.000
3.586 2.965 0.000
-1.745 0.000 7.036
Tb Ho Te
1 2 2
Direct
0.000 0.000 0.000 Tb
0.247 0.753 0.500 Ho
0.753 0.247 0.500 Ho
0.325 0.325 0.794 Te
0.675 0.675 0.206 Te
```

***

TbHoTe2: relaxed, PBE.

Summary:
The value obtained for the formation energy without anion corrections is -3.7 eV per formula unit. The calculation puts the calculated volume at 37.165 Å³/atom. As for the density of states at the Fermi level: 0.465 states/eV per atom. Its crystal system is orthorhombic. The calculation puts the excess energy over the best structure of this formula in the dataset at 382.6 meV/atom. The space group is Pmn2_1, No. 31. The value obtained for the total magnetization is 0.00 μB/atom. The value obtained for the density is 6468 kg/m3.

POSCAR file:
```
TbHoTe2
1.0
4.462 0.000 0.000
0.000 9.724 0.000
0.000 0.000 6.853
Tb Ho Te
2 2 4
Direct
0.000 0.085 0.000 Tb
0.500 0.915 0.500 Tb
0.000 0.676 0.843 Ho
0.500 0.324 0.343 Ho
0.000 0.411 0.088 Te
0.000 0.822 0.222 Te
0.500 0.178 0.722 Te
0.500 0.589 0.588 Te
```

***

TbHo4Te5: relaxed, PBE.

Summary:
The value obtained for the formation energy without anion corrections is -12.6 eV per formula unit. The calculation puts the calculated volume at 28.938 Å³/atom. As for the density of states at the Fermi level: 0.558 states/eV per atom. Its crystal system is tetragonal. The calculation puts the excess energy over the best structure of this formula in the dataset at 3.6 meV/atom. The space group is I4, No. 79. The value obtained for the total magnetization is 0.00 μB/atom. The value obtained for the density is 8359 kg/m3.

POSCAR file:
```
TbHo4Te5
1.0
-4.850 4.850 3.076
4.850 -4.850 3.076
4.850 4.850 -3.076
Tb Ho Te
1 4 5
Direct
0.000 0.000 0.000 Tb
0.207 0.400 0.602 Ho
0.400 0.799 0.193 Ho
0.606 0.207 0.807 Ho
0.799 0.606 0.398 Ho
0.101 0.699 0.794 Te
0.307 0.101 0.402 Te
0.500 0.500 0.000 Te
0.699 0.905 0.598 Te
0.905 0.307 0.206 Te
```

***

Tb4HoTe2: relaxed, PBE.

Summary:
The value obtained for the formation energy without anion corrections is -3.6 eV per formula unit. The calculation puts the calculated volume at 32.382 Å³/atom. As for the density of states at the Fermi level: 0.857 states/eV per atom. Its crystal system is trigonal. The space group is R-3m, No. 166. The value obtained for the total magnetization is 0.00 μB/atom. The value obtained for the density is 7735 kg/m3.

POSCAR file:
```
Tb4HoTe2
1.0
2.717 1.569 8.864
-2.717 1.569 8.864
0.000 -3.137 8.864
Tb Ho Te
4 1 2
Direct
0.134 0.134 0.134 Tb
0.266 0.266 0.266 Tb
0.734 0.734 0.734 Tb
0.866 0.866 0.866 Tb
0.500 0.500 0.500 Ho
0.384 0.384 0.384 Te
0.616 0.616 0.616 Te
```

***

TbHoTe2: relaxed, PBE.

Summary:
The value obtained for the formation energy without anion corrections is -4.6 eV per formula unit. The calculation puts the calculated volume at 27.001 Å³/atom. As for the density of states at the Fermi level: 0.653 states/eV per atom. Its crystal system is tetragonal. The calculation puts the excess energy over the best structure of this formula in the dataset at 145.3 meV/atom. The space group is P4/mmm, No. 123. The value obtained for the total magnetization is 0.27 μB/atom. The value obtained for the density is 8903 kg/m3.

POSCAR file:
```
TbHoTe2
1.0
5.347 0.000 0.000
0.000 5.347 0.000
0.000 0.000 3.778
Tb Ho Te
1 1 2
Direct
0.000 0.000 0.000 Tb
0.500 0.500 0.000 Ho
0.000 0.500 0.500 Te
0.500 0.000 0.500 Te
```

***

Tb2Ho2Te7: relaxed, PBE.

Summary:
The value obtained for the formation energy without anion corrections is -13.2 eV per formula unit. The calculation puts the calculated volume at 30.007 Å³/atom. As for the density of states at the Fermi level: 0.473 states/eV per atom. Its crystal system is orthorhombic. The space group is Imm2, No. 44. The value obtained for the total magnetization is 0.00 μB/atom. The value obtained for the density is 7752 kg/m3.

POSCAR file:
```
Tb2Ho2Te7
1.0
-2.114 7.935 4.919
2.114 -7.935 4.919
2.114 7.935 -4.919
Tb Ho Te
2 2 7
Direct
0.242 0.000 0.242 Tb
0.758 0.000 0.758 Tb
0.328 0.828 0.500 Ho
0.774 0.774 0.000 Ho
0.024 0.700 0.324 Te
0.094 0.094 0.000 Te
0.376 0.700 0.676 Te
0.390 0.498 0.891 Te
0.607 0.498 0.109 Te
0.671 0.314 0.358 Te
0.956 0.314 0.642 Te
```

***

TbHo2Te5: relaxed, PBE.

Summary:
The value obtained for the formation energy without anion corrections is -9.1 eV per formula unit. The calculation puts the calculated volume at 29.146 Å³/atom. As for the density of states at the Fermi level: 0.691 states/eV per atom. Its crystal system is tetragonal. The space group is I4/mcm, No. 140. The value obtained for the total magnetization is 0.00 μB/atom. The value obtained for the density is 8024 kg/m3.

POSCAR file:
```
TbHo2Te5
1.0
-4.036 4.036 7.156
4.036 -4.036 7.156
4.036 4.036 -7.156
Tb Ho Te
2 4 10
Direct
0.250 0.250 0.000 Tb
0.750 0.750 0.000 Tb
0.151 0.651 0.801 Ho
0.349 0.151 0.500 Ho
0.651 0.849 0.500 Ho
0.849 0.349 0.199 Ho
0.000 0.000 0.000 Te
0.011 0.191 0.500 Te
0.191 0.691 0.180 Te
0.309 0.489 0.500 Te
0.489 0.989 0.180 Te
0.500 0.500 0.000 Te
0.511 0.011 0.820 Te
0.691 0.511 0.500 Te
0.809 0.309 0.820 Te
0.989 0.809 0.500 Te
```

***

TbHo2Te4: relaxed, PBE.

Summary:
The value obtained for the formation energy without anion corrections is -9.4 eV per formula unit. The calculation puts the calculated volume at 32.171 Å³/atom. As for the density of states at the Fermi level: 0.420 states/eV per atom. Its crystal system is orthorhombic. The calculation puts the excess energy over the best structure of this formula in the dataset at 39.6 meV/atom. The space group is Cmcm, No. 63. The value obtained for the total magnetization is 0.00 μB/atom. The value obtained for the density is 7368 kg/m3.

POSCAR file:
```
TbHo2Te4
1.0
2.118 -7.136 0.000
2.118 7.136 0.000
0.000 0.000 14.903
Tb Ho Te
2 4 8
Direct
0.128 0.872 0.750 Tb
0.872 0.128 0.250 Tb
0.369 0.631 0.569 Ho
0.369 0.631 0.931 Ho
0.631 0.369 0.069 Ho
0.631 0.369 0.431 Ho
0.000 0.000 0.000 Te
0.000 0.000 0.500 Te
0.278 0.722 0.122 Te
0.278 0.722 0.378 Te
0.468 0.532 0.750 Te
0.532 0.468 0.250 Te
0.722 0.278 0.622 Te
0.722 0.278 0.878 Te
```

***

Tb3HoTe: relaxed, PBE.

Summary:
The value obtained for the formation energy without anion corrections is -1.7 eV per formula unit. The calculation puts the calculated volume at 31.737 Å³/atom. As for the density of states at the Fermi level: 1.124 states/eV per atom. Its crystal system is monoclinic. The space group is C2/m, No. 12. The value obtained for the total magnetization is 0.00 μB/atom. The value obtained for the density is 8050 kg/m3.

POSCAR file:
```
Tb3HoTe
1.0
6.027 -2.895 0.000
6.027 2.895 0.000
-0.948 0.000 9.096
Tb Ho Te
6 2 2
Direct
0.058 0.058 0.343 Tb
0.140 0.140 0.956 Tb
0.372 0.372 0.366 Tb
0.628 0.628 0.634 Tb
0.860 0.860 0.044 Tb
0.942 0.942 0.657 Tb
0.422 0.422 0.847 Ho
0.578 0.578 0.153 Ho
0.213 0.213 0.632 Te
0.787 0.787 0.368 Te
```